Mg6GaPd2: optimized geometry, GGA-PBE.

Output
* final energy: -2.948 eV/atom
* calculated volume: 19.892 Å³ per atom
* formation enthalpy at 0 K: -0.3942 eV/atom
* energy above the lowest structure with this stoichiometry: 0 meV per atom

abc: 7.7957 7.7957 7.7957
angles: 100.59 112.74 115.45
Last column: nearest neighbours and their distance in Å.
Positions (direct):
Mg 0.5150 0.8128 0.7022  3 Pd 2.73-2.78, 1 Ga 3.01
Mg 0.4850 0.1872 0.2978  3 Pd 2.73-2.78, 1 Ga 3.01
Mg 0.1105 0.8128 0.2978  3 Pd 2.73-2.78, 1 Ga 3.01
Mg 0.8895 0.1872 0.7022  3 Pd 2.73-2.78, 1 Ga 3.01
Mg 0.8061 0.0541 0.2480  2 Pd 2.66-2.77, 1 Ga 2.95
Mg 0.1939 0.9459 0.7520  2 Pd 2.66-2.77, 1 Ga 2.95
Mg 0.1939 0.4420 0.2480  2 Pd 2.66-2.77, 1 Ga 2.95
Mg 0.8061 0.5580 0.7520  2 Pd 2.66-2.77, 1 Ga 2.95
Mg 0.6957 0.3439 0.0396  3 Pd 2.63-2.78
Mg 0.3043 0.6561 0.9604  3 Pd 2.63-2.78
Mg 0.3043 0.3439 0.6482  3 Pd 2.63-2.78
Mg 0.6957 0.6561 0.3518  3 Pd 2.63-2.78
Ga 0.0000 0.5000 0.5000  12 Mg 2.98-3.14
Ga 0.0000 0.0000 0.0000  2 Pd 2.60
Pd 0.5000 0.1420 0.6420  8 Mg 2.63-2.77, 1 Pd 2.83
Pd 0.5000 0.8580 0.3580  8 Mg 2.63-2.77, 1 Pd 2.83
Pd 0.6871 0.6871 0.0000  1 Ga 2.60, 8 Mg 2.66-2.78
Pd 0.3129 0.3129 0.0000  1 Ga 2.60, 8 Mg 2.66-2.78



Pm4Nd2DyHo2: optimized geometry, GGA-PBE.

Output
* final energy: -4.680 eV/atom
* calculated volume: 33.457 Å³ per atom
* formation enthalpy at 0 K: 0.0191 eV/atom

abc: 5.1233 8.1022 8.0655
angles: 107.57 90.00 108.43
Last column: nearest neighbours and their distance in Å.
Positions (direct):
Pm 0.7785 0.5569 0.6696  1 Dy 3.60, 3 Ho 3.60, 5 Pm 3.62-3.65, 3 Nd 3.62-3.64
Pm 0.2215 0.4431 0.3304  1 Dy 3.60, 3 Ho 3.60, 5 Pm 3.62-3.65, 3 Nd 3.62-3.64
Pm 0.5553 0.1107 0.3307  2 Ho 3.60, 2 Dy 3.60, 4 Pm 3.62-3.65, 4 Nd 3.63-3.64
Pm 0.4447 0.8893 0.6693  2 Ho 3.60, 2 Dy 3.60, 4 Pm 3.62-3.65, 4 Nd 3.63-3.64
Nd 0.8884 0.7767 0.3308  3 Ho 3.60, 1 Dy 3.60, 7 Pm 3.62-3.64, 1 Nd 3.64
Nd 0.1116 0.2233 0.6692  3 Ho 3.60, 1 Dy 3.60, 7 Pm 3.62-3.64, 1 Nd 3.64
Dy 0.0000 0.0000 0.0000  6 Pm 3.60, 2 Nd 3.60, 4 Ho 3.62
Ho 0.3334 0.6667 0.9999  5 Pm 3.60, 3 Nd 3.60, 2 Dy 3.62, 2 Ho 3.62
Ho 0.6666 0.3333 0.0001  5 Pm 3.60, 3 Nd 3.60, 2 Dy 3.62, 2 Ho 3.62